Record 1
This record from Alexandria via LeMat-Bulk describes a geometry-optimized Mg4Ag2Sb structure. The functional is GGA-PBE.

a b c (Å): 5.4166 5.4166 7.9087
angles (deg): 69.97 69.97 90.00
Element x y z (fractional)
Sb1 0.0000 0.0000 0.0000
Mg1 0.2099 0.2099 0.5801
Mg2 0.7901 0.7901 0.4199
Mg3 0.0000 0.5000 0.0000
Mg4 0.5000 0.0000 0.0000
Ag1 0.4006 0.4006 0.1987
Ag2 0.5994 0.5994 0.8013

## Properties
The crystal system is tetragonal. The uncorrected formation energy comes out at 0.201 eV per atom. Its space-group type is I4/mmm, No. 139. The value obtained for the density of states at the Fermi level is 0.462 states/eV/atom.

=====

Record 2
This record from Alexandria via LeMat-Bulk describes a geometry-optimized MgAgSb structure. The functional is GGA-PBE.

a b c (Å): 9.1626 9.1626 9.1626
angles (deg): 119.26 119.26 91.28
Element x y z (fractional)
Mg1 0.4099 0.1095 0.7483
Mg2 0.3613 0.6616 0.2517
Mg3 0.8613 0.6095 0.6997
Mg4 0.9099 0.1616 0.3003
Mg5 0.8905 0.6387 0.3003
Mg6 0.3384 0.5901 0.6997
Mg7 0.3905 0.0901 0.2517
Mg8 0.8384 0.1387 0.7483
Ag1 0.2500 0.2500 0.0000
Ag2 0.7500 0.7500 0.0000
Ag3 0.5000 0.5000 0.0000
Ag4 0.0000 0.0000 0.0000
Ag5 0.0260 0.0260 0.5519
Ag6 0.4740 0.4740 0.4481
Ag7 0.9740 0.5260 0.0000
Ag8 0.5260 0.9740 0.0000
Sb1 0.1528 0.9071 0.2913
Sb2 0.6158 0.8615 0.7087
Sb3 0.1158 0.4071 0.7543
Sb4 0.6528 0.3615 0.2457
Sb5 0.0929 0.3842 0.2457
Sb6 0.1385 0.8472 0.7543
Sb7 0.5929 0.3472 0.7087
Sb8 0.6385 0.8842 0.2913

## Properties
Its distance to the lowest polymorph of the same formula is 0.000 eV per atom. The crystal system is tetragonal. The uncorrected formation energy comes out at -0.223 eV per atom. Its space-group type is I-4c2, No. 120. The value obtained for the density of states at the Fermi level is 0.132 states/eV/atom.

=====

Record 3
This record from Alexandria via LeMat-Bulk describes a geometry-optimized MgAg2Sb structure. The functional is GGA-PBE.

a b c (Å): 4.9279 3.2943 5.3235
angles (deg): 95.96 90.00 90.00
Element x y z (fractional)
Ag1 0.0000 0.9353 0.0250
Ag2 0.0000 0.5647 0.4750
Mg1 0.5000 0.2500 0.2500
Sb1 0.5000 0.7500 0.7500

## Properties
The crystal system is monoclinic. The uncorrected formation energy comes out at -0.051 eV per atom. Its space-group type is P2/m, No. 10. The value obtained for the density of states at the Fermi level is 0.359 states/eV/atom.

=====

Record 4
This record from Alexandria via LeMat-Bulk describes a geometry-optimized MgAgSb2 structure. The functional is GGA-PBE.

a b c (Å): 3.3339 3.3339 8.5209
angles (deg): 90.00 90.00 89.78
Element x y z (fractional)
Ag1 0.5000 0.5000 0.2500
Mg1 0.5000 0.5000 0.7500
Sb1 0.0000 0.0000 0.0018
Sb2 0.0000 0.0000 0.4982

## Properties
The crystal system is orthorhombic. The uncorrected formation energy comes out at 0.025 eV per atom. Its space-group type is Cmmm, No. 65. The value obtained for the density of states at the Fermi level is 0.262 states/eV/atom.

=====

Record 5
This record from Alexandria via LeMat-Bulk describes a geometry-optimized MgAg2Sb structure. The functional is GGA-PBE.

a b c (Å): 3.1251 3.1251 8.5436
angles (deg): 90.00 90.00 90.10
Element x y z (fractional)
Ag1 0.0000 0.0000 0.0279
Ag2 0.0000 0.0000 0.4721
Mg1 0.5000 0.5000 0.2500
Sb1 0.5000 0.5000 0.7500

## Properties
The crystal system is orthorhombic. The uncorrected formation energy comes out at -0.016 eV per atom. Its space-group type is Cmmm, No. 65. The value obtained for the density of states at the Fermi level is 0.355 states/eV/atom.

=====

Record 6
This record from Alexandria via LeMat-Bulk describes a geometry-optimized MgAgSb4 structure. The functional is GGA-PBE.

a b c (Å): 6.2164 6.2164 6.2164
angles (deg): 60.00 60.00 60.00
Element x y z (fractional)
Mg1 0.0000 0.0000 0.0000
Ag1 0.7500 0.7500 0.7500
Sb1 0.8745 0.3752 0.3752
Sb2 0.3752 0.3752 0.8745
Sb3 0.3752 0.8745 0.3752
Sb4 0.3752 0.3752 0.3752

## Properties
The crystal system is cubic. The uncorrected formation energy comes out at 0.307 eV per atom. Its space-group type is F-43m, No. 216. The value obtained for the density of states at the Fermi level is 0.277 states/eV/atom.

=====

Record 7
This record from Alexandria via LeMat-Bulk describes a geometry-optimized MgAgSb structure. The functional is GGA-PBE.

a b c (Å): 6.8741 6.8745 3.2034
angles (deg): 76.52 76.53 26.95
Element x y z (fractional)
Ag1 0.9856 0.9856 0.0144
Mg1 0.3503 0.3503 0.6497
Sb1 0.6641 0.6641 0.3359

## Properties
Its distance to the lowest polymorph of the same formula is 0.176 eV per atom. The crystal system is tetragonal. The uncorrected formation energy comes out at -0.048 eV per atom. Its space-group type is I4mm, No. 107. The value obtained for the density of states at the Fermi level is 0.482 states/eV/atom.

=====

Record 8
This record from Alexandria via LeMat-Bulk describes a geometry-optimized Mg2Ag2Sb structure. The functional is GGA-PBE.

a b c (Å): 3.8982 3.8982 7.8688
angles (deg): 75.66 75.66 90.00
Element x y z (fractional)
Sb1 0.0000 0.0000 0.0000
Mg1 0.3965 0.3965 0.2070
Mg2 0.6035 0.6035 0.7930
Ag1 0.7500 0.2500 0.5000
Ag2 0.2500 0.7500 0.5000

## Properties
Its distance to the lowest polymorph of the same formula is 0.082 eV per atom. The crystal system is tetragonal. The uncorrected formation energy comes out at -0.057 eV per atom. Its space-group type is I4/mmm, No. 139. The value obtained for the density of states at the Fermi level is 0.327 states/eV/atom.

=====

Calculated values (μB per atom) of magnetization for the records, taken in order: 0.0000; 0.0000; 0.0000; 0.0000; 0.0000; 0.0000; 0.0000; 0.0000.